1.
Compound: Pm4Te2OsCl
Source: Alexandria via LeMat-Bulk
Functional: PBE-GGA
Structure: optimized geometry

Unit cell a=7.519 b=4.233 c=7.699 alpha=90.00 beta=107.35 gamma=90.00
Space group P2/m (No. 10)
Symmetry-distinct sites (fractional):
Pm (0.216, 0.000, 0.210)
Pm (0.230, 0.500, 0.775)
Te (0.000, 0.000, 0.500)
Te (0.500, 0.500, 0.500)
Os (0.000, 0.500, 0.000)
Cl (0.500, 0.000, 0.000)

Results
- M_tot (μB/cell) = 0.00
- formation energy (no corrections) (meV per atom) = -1059

2.
Compound: CsPdSe2
Source: Alexandria via LeMat-Bulk
Functional: PBE-GGA
Structure: optimized geometry

Unit cell a=7.994 b=7.994 c=8.142 alpha=90.00 beta=90.00 gamma=90.00
Space group I-42d (No. 122)
Symmetry-distinct sites (fractional):
Cs (0.000, 0.000, 0.000)
Pd (0.000, 0.000, 0.500)
Se (0.123, 0.750, 0.625)

Results
- M_tot (μB/cell) = 0.00
- formation energy (no corrections) (meV per atom) = -521

3.
Compound: YAlCl3
Source: Alexandria via LeMat-Bulk
Functional: PBE-GGA
Structure: optimized geometry

Unit cell a=5.063 b=5.063 c=5.063 alpha=90.00 beta=90.00 gamma=90.00
Space group Pm-3m (No. 221)
Symmetry-distinct sites (fractional):
Y (0.000, 0.000, 0.000)
Al (0.500, 0.500, 0.500)
Cl (0.000, 0.500, 0.500)

Results
- M_tot (μB/cell) = 1.58
- formation energy (no corrections) (meV per atom) = -563
- excess energy over the best structure of this formula in the dataset (meV per atom) = 621.9

4.
Compound: NiPICl2
Source: Alexandria via LeMat-Bulk
Functional: PBE-GGA
Structure: optimized geometry

Unit cell a=5.235 b=5.235 c=5.137 alpha=90.00 beta=90.00 gamma=90.00
Space group P4/mmm (No. 123)
Symmetry-distinct sites (fractional):
Ni (0.000, 0.000, 0.000)
P (0.500, 0.500, 0.000)
I (0.500, 0.500, 0.500)
Cl (0.000, 0.500, 0.500)

Results
- M_tot (μB/cell) = 1.71
- formation energy (no corrections) (meV per atom) = 1213
- excess energy over the best structure of this formula in the dataset (meV per atom) = 1030.0

5.
Compound: Ti3MnH
Source: Alexandria via LeMat-Bulk
Functional: PBE-GGA
Structure: optimized geometry

Unit cell a=3.981 b=3.981 c=3.981 alpha=90.00 beta=90.00 gamma=90.00
Space group Pm-3m (No. 221)
Symmetry-distinct sites (fractional):
Ti (0.000, 0.000, 0.500)
Mn (0.500, 0.500, 0.500)
H (0.000, 0.000, 0.000)

Results
- M_tot (μB/cell) = 0.00
- excess energy over the best structure of this formula in the dataset (meV per atom) = 0.0

6.
Compound: TbPmBeIn
Source: Alexandria via LeMat-Bulk
Functional: PBE-GGA
Structure: optimized geometry

Unit cell a=7.353 b=7.353 c=7.353 alpha=90.00 beta=90.00 gamma=90.00
Space group F-43m (No. 216)
Symmetry-distinct sites (fractional):
Tb (0.000, 0.000, 0.000)
Pm (0.000, 0.000, 0.500)
Be (0.250, 0.250, 0.250)
In (0.250, 0.250, 0.750)

Results
- M_tot (μB/cell) = 0.00
- calculated formation energy (eV/atom) = -0.0980